No. 1
A plane-wave DFT calculation with GGA-PBEsol was carried out for an optimized crystal structure of Ag2Se.

Output
Energy relative to the elements, uncorrected   -0.16 eV per formula unit
DOS at the Fermi energy   0.28 states/eV/f.u.

Lattice parameters (Å, degrees): 4.5066 6.9162 7.2895 90.00 90.00 90.00
Last column: nearest neighbours and their distance in Å.
Fractional positions:
Ag  0.0081  0.2302  0.3730  3 Se 2.61-2.77, 1 Ag 2.90
Ag  0.1850  0.6213  0.5416  3 Se 2.63-2.76, 3 Ag 2.90-2.93
Ag  0.3150  0.3787  0.0416  3 Se 2.63-2.76, 3 Ag 2.90-2.93
Ag  0.4919  0.7698  0.8730  3 Se 2.61-2.77, 1 Ag 2.90
Ag  0.5081  0.2698  0.6270  3 Se 2.61-2.77, 1 Ag 2.90
Ag  0.6850  0.8787  0.4584  3 Se 2.63-2.76, 3 Ag 2.90-2.93
Ag  0.8150  0.1213  0.9584  3 Se 2.63-2.76, 3 Ag 2.90-2.93
Ag  0.9919  0.7302  0.1270  3 Se 2.61-2.77, 1 Ag 2.90
Se  0.1210  0.9940  0.6717  6 Ag 2.61-2.77
Se  0.3790  0.0060  0.1717  6 Ag 2.61-2.77
Se  0.6210  0.5060  0.3283  6 Ag 2.61-2.77
Se  0.8790  0.4940  0.8283  6 Ag 2.61-2.77

No. 2
A plane-wave DFT calculation with GGA-PBEsol was carried out for an optimized crystal structure of BaLiHg2.

Output
Formation enthalpy at 0 K   -0.34 eV per atom
DOS at the Fermi energy   2.99 states/eV/f.u.

Lattice parameters (Å, degrees): 4.5120 5.6506 8.6149 90.00 90.00 90.00
Last column: nearest neighbours and their distance in Å.
Fractional positions:
Ba  0.0000  0.0000  0.0000  4 Li 3.35-3.38, 8 Hg 3.35-3.62
Ba  0.5000  0.5000  0.5000  4 Li 3.35-3.38, 8 Hg 3.35-3.62
Li  0.0000  0.5000  0.7919  2 Hg 2.75
Li  0.5000  0.0000  0.2919  2 Hg 2.75
Hg  0.0000  0.0000  0.4745  2 Li 2.75, 2 Hg 3.05
Hg  0.0000  0.5000  0.2123  2 Hg 3.05, 4 Ba 3.35-3.37
Hg  0.5000  0.0000  0.7123  2 Hg 3.05, 4 Ba 3.35-3.37
Hg  0.5000  0.5000  0.9745  2 Li 2.75, 2 Hg 3.05